# 1
Computed, not measured: crystalline Rb2NbTlBr6 at its relaxed geometry at the GGA-PBE level of DFT.

Properties
formation energy from raw total energies = -1.149 eV/atom

a = 8.222 Å, b = 8.222 Å, c = 8.222 Å
α = 60.00°, β = 60.00°, γ = 60.00°
Positions (direct):
Rb 0.250 0.250 0.250
Rb 0.750 0.750 0.750
Nb 0.000 0.000 0.000
Tl 0.500 0.500 0.500
Br 0.228 0.228 0.772
Br 0.228 0.772 0.228
Br 0.228 0.772 0.772
Br 0.772 0.228 0.228
Br 0.772 0.228 0.772
Br 0.772 0.772 0.228

=====

# 2
Computed, not measured: crystalline Li2Pr3AlPd9 at its relaxed geometry at the GGA-PBE level of DFT.

Properties
energy of formation = -0.520 eV per atom

a = 6.724 Å, b = 6.724 Å, c = 7.206 Å
α = 90.00°, β = 90.00°, γ = 120.00°
Positions (direct):
Li 0.333 0.667 0.143
Li 0.667 0.333 0.857
Pr 0.000 0.000 0.000
Pr 0.333 0.667 0.673
Pr 0.667 0.333 0.327
Al 0.000 0.000 0.500
Pd 0.000 0.500 0.000
Pd 0.178 0.355 0.334
Pd 0.178 0.822 0.334
Pd 0.355 0.178 0.666
Pd 0.500 0.000 0.000
Pd 0.500 0.500 0.000
Pd 0.645 0.822 0.334
Pd 0.822 0.178 0.666
Pd 0.822 0.645 0.666

=====

# 3
Computed, not measured: crystalline CaAc2AgIr at its relaxed geometry at the GGA-PBE level of DFT.

Properties
energy of formation = -0.270 eV per atom

a = 5.787 Å, b = 5.787 Å, c = 5.628 Å
α = 90.00°, β = 90.00°, γ = 90.00°
Positions (direct):
Ca 0.000 0.000 0.000
Ac 0.000 0.500 0.487
Ac 0.500 0.000 0.487
Ag 0.500 0.500 0.126
Ir 0.000 0.000 0.502

=====

no.,Fermi-level density of states (states/eV/f.u.),uncorrected energy (eV per atom),total magnetization (μB per atom)
1,10.35,-3.590,0.20
2,5.88,-5.096,0.00
3,2.91,-4.656,0.00